Entry 1:
DyTmCoPd | PBE-GGA | relaxed

Lattice parameters (Å, degrees): 6.8068 6.8068 6.8068 90.00 90.00 90.00
Closest atoms and distances in Å follow each position.
Space group F-43m (No. 216)
One atom of each set of equivalent atoms:
1 Dy 0.0000 0.0000 0.0000 x4  4 Co 2.95, 4 Pd 2.95
2 Tm 0.0000 0.0000 0.5000 x4  4 Pd 2.95, 4 Co 2.95
3 Co 0.2500 0.2500 0.2500 x4  4 Dy 2.95, 4 Tm 2.95
4 Pd 0.2500 0.2500 0.7500 x4  4 Dy 2.95, 4 Tm 2.95

ΔH_f (0 K): -0.52 eV/atom
V: 78.84 Å³/f.u.
Spin magnetization: 0.1 μB/f.u.
Energy above the lowest structure with this stoichiometry: 0.039 eV per atom

Entry 2:
HoEr8 | PBE-GGA | relaxed

Lattice parameters (Å, degrees): 10.5071 10.5071 4.9411 90.00 90.00 90.00
Closest atoms and distances in Å follow each position.
Space group I4/mmm (No. 139)
One atom of each set of equivalent atoms:
1 Ho 0.0000 0.0000 0.0000 x2  12 Er 3.50
2 Er 0.0000 0.3334 0.0000 x8  11 Er 3.50, 1 Ho 3.50
3 Er 0.1667 0.1667 0.5000 x8  10 Er 3.50, 2 Ho 3.50

ΔH_f (0 K): 0.02 eV/atom
V: 272.75 Å³/f.u.
Spin magnetization: 0.0 μB/f.u.

Entry 3:
Y4AsSeS2 | PBE-GGA | relaxed

Lattice parameters (Å, degrees): 6.9497 4.0061 6.9690 90.00 109.27 90.00
Closest atoms and distances in Å follow each position.
Space group P2/m (No. 10)
One atom of each set of equivalent atoms:
1 Y 0.2337 0.0000 0.2359 x2  3 S 2.76-2.83, 1 As 2.85, 2 Se 2.93
2 Y 0.2406 0.5000 0.7553 x2  3 S 2.75-2.83, 2 As 2.85, 1 Se 2.92
3 As 0.5000 0.0000 0.0000 x1  6 Y 2.85
4 Se 0.5000 0.5000 0.5000 x1  6 Y 2.92-2.93
5 S 0.0000 0.0000 0.5000 x1  6 Y 2.83
6 S 0.0000 0.5000 0.0000 x1  6 Y 2.75-2.76

Total energy: -57.08 eV per cell
V: 183.16 Å³/f.u.
Spin magnetization: 0.0 μB/f.u.

Entry 4:
Ga2Cu2W | PBE-GGA | relaxed

Lattice parameters (Å, degrees): 7.1322 7.1322 2.7484 90.00 90.00 90.00
Closest atoms and distances in Å follow each position.
Space group P4/mbm (No. 127)
One atom of each set of equivalent atoms:
1 Ga 0.1404 0.3596 0.0000 x4  6 Cu 2.46-2.53, 2 Ga 2.75
2 Cu 0.1576 0.6576 0.5000 x4  6 Ga 2.46-2.53, 2 Cu 2.75
3 W 0.0000 0.0000 0.0000 x2  2 W 2.75, 4 Ga 2.75, 8 Cu 3.02

ΔH_f (0 K): 0.15 eV/atom
V: 69.90 Å³/f.u.
Spin magnetization: 0.0 μB/f.u.
Energy above the lowest structure with this stoichiometry: 0.000 eV per atom